[1]
A plane-wave DFT calculation with PBE was carried out for crystalline Ac6La5Mg2 at its relaxed geometry.

Summary:
The value obtained for the magnetization is 0.000 μB per atom. The space group is No. 55. For the calculated formation energy, the calculation gives 1.2 eV per formula unit.

Structure (POSCAR):
```
Ac6La5Mg2
1.0
11.106 0.000 0.000
0.000 24.358 0.000
0.000 0.000 3.809
Ac La Mg
12 10 4
Direct
0.017 0.114 0.000
0.152 0.382 0.000
0.165 0.635 0.500
0.335 0.135 0.500
0.348 0.882 0.000
0.483 0.614 0.000
0.517 0.386 0.000
0.652 0.118 0.000
0.665 0.865 0.500
0.835 0.365 0.500
0.848 0.618 0.000
0.983 0.886 0.000
0.000 0.500 0.500
0.086 0.248 0.500
0.168 0.994 0.500
0.332 0.494 0.500
0.414 0.748 0.500
0.500 0.000 0.500
0.586 0.252 0.500
0.668 0.506 0.500
0.832 0.006 0.500
0.914 0.752 0.500
0.164 0.759 0.000
0.336 0.259 0.000
0.664 0.741 0.000
0.836 0.241 0.000
```

[2]
A plane-wave DFT calculation with PBE was carried out for crystalline Ac2LaMg5 at its relaxed geometry.

Summary:
The value obtained for the magnetization is 0.000 μB per atom. The space group is No. 139. For the calculated formation energy, the calculation gives -0.6 eV per formula unit.

Structure (POSCAR):
```
Ac2LaMg5
1.0
-2.744 2.744 8.195
2.744 -2.744 8.195
2.744 2.744 -8.195
Ac La Mg
2 1 5
Direct
0.239 0.239 0.000
0.761 0.761 0.000
0.500 0.500 0.000
0.000 0.000 0.000
0.110 0.610 0.500
0.390 0.890 0.500
0.610 0.110 0.500
0.890 0.390 0.500
```

[3]
A plane-wave DFT calculation with PBE was carried out for crystalline Ac2La2Mg3 at its relaxed geometry.

Summary:
The value obtained for the magnetization is 0.000 μB per atom. The space group is No. 65. For the calculated formation energy, the calculation gives -0.1 eV per formula unit.

Structure (POSCAR):
```
Ac2La2Mg3
1.0
2.044 -14.652 0.000
2.044 14.652 0.000
0.000 0.000 4.009
Ac La Mg
2 2 3
Direct
0.072 0.928 0.000
0.928 0.072 0.000
0.205 0.795 0.000
0.795 0.205 0.000
0.357 0.643 0.500
0.500 0.500 0.500
0.643 0.357 0.500
```

[4]
A plane-wave DFT calculation with PBE was carried out for crystalline Ac2LaMg at its relaxed geometry.

Summary:
The value obtained for the magnetization is 0.000 μB per atom. The space group is No. 123. For the calculated formation energy, the calculation gives -0.1 eV per formula unit. The energy above the most stable polymorph in this dataset comes out at 0 meV/atom.

Structure (POSCAR):
```
Ac2LaMg
1.0
4.004 0.000 0.000
0.000 4.004 0.000
0.000 0.000 9.569
Ac La Mg
2 1 1
Direct
0.000 0.000 0.226
0.000 0.000 0.774
0.500 0.500 0.500
0.500 0.500 0.000
```

[5]
A plane-wave DFT calculation with PBE was carried out for crystalline Ac3La4Mg at its relaxed geometry.

Summary:
The value obtained for the magnetization is 0.000 μB per atom. The space group is No. 123. For the calculated formation energy, the calculation gives -0.1 eV per formula unit.

Structure (POSCAR):
```
Ac3La4Mg
1.0
3.894 0.000 0.000
0.000 3.894 0.000
0.000 0.000 20.225
Ac La Mg
3 4 1
Direct
0.000 0.000 0.000
0.000 0.000 0.267
0.000 0.000 0.733
0.500 0.500 0.133
0.500 0.500 0.398
0.500 0.500 0.602
0.500 0.500 0.867
0.000 0.000 0.500
```

[6]
A plane-wave DFT calculation with PBE was carried out for crystalline Ac4LaMg at its relaxed geometry.

Summary:
The value obtained for the magnetization is 0.000 μB per atom. The space group is No. 123. For the calculated formation energy, the calculation gives -0.1 eV per formula unit. The energy above the most stable polymorph in this dataset comes out at 0 meV/atom.

Structure (POSCAR):
```
Ac4LaMg
1.0
3.990 0.000 0.000
0.000 3.990 0.000
0.000 0.000 15.254
Ac La Mg
4 1 1
Direct
0.000 0.000 0.143
0.000 0.000 0.857
0.500 0.500 0.326
0.500 0.500 0.674
0.000 0.000 0.500
0.500 0.500 0.000
```

[7]
A plane-wave DFT calculation with PBE was carried out for crystalline Ac4La7Mg at its relaxed geometry.

Summary:
The value obtained for the magnetization is 0.000 μB per atom. The space group is No. 12. For the calculated formation energy, the calculation gives 1.0 eV per formula unit.

Structure (POSCAR):
```
Ac4La7Mg
1.0
9.951 -3.735 0.000
9.951 3.735 0.000
-0.148 0.000 6.334
Ac La Mg
4 7 1
Direct
0.107 0.628 0.763
0.372 0.893 0.237
0.628 0.107 0.763
0.893 0.372 0.237
0.044 0.044 0.743
0.212 0.212 0.755
0.319 0.319 0.255
0.500 0.500 0.500
0.681 0.681 0.745
0.788 0.788 0.245
0.956 0.956 0.257
0.500 0.500 0.000
```

[8]
A plane-wave DFT calculation with PBE was carried out for crystalline AcLa6Mg5 at its relaxed geometry.

Summary:
The value obtained for the magnetization is 0.000 μB per atom. The space group is No. 10. For the calculated formation energy, the calculation gives -0.6 eV per formula unit.

Structure (POSCAR):
```
AcLa6Mg5
1.0
5.676 0.000 0.000
0.000 8.102 0.000
-2.812 0.000 8.559
Ac La Mg
1 6 5
Direct
0.000 0.000 0.000
0.174 0.260 0.347
0.174 0.740 0.347
0.500 0.273 0.000
0.500 0.727 0.000
0.826 0.260 0.653
0.826 0.740 0.653
0.000 0.500 0.000
0.333 0.500 0.668
0.338 0.000 0.677
0.662 0.000 0.323
0.667 0.500 0.332
```

[9]
A plane-wave DFT calculation with PBE was carried out for crystalline Ac3LaMg2 at its relaxed geometry.

Summary:
The value obtained for the magnetization is 0.000 μB per atom. The space group is No. 123. For the calculated formation energy, the calculation gives -0.3 eV per formula unit.

Structure (POSCAR):
```
Ac3LaMg2
1.0
4.044 0.000 0.000
0.000 4.044 0.000
0.000 0.000 13.685
Ac La Mg
3 1 2
Direct
0.000 0.000 0.000
0.000 0.000 0.307
0.000 0.000 0.693
0.500 0.500 0.500
0.500 0.500 0.154
0.500 0.500 0.846
```

[10]
A plane-wave DFT calculation with PBE was carried out for crystalline Ac6LaMg2 at its relaxed geometry.

Summary:
The value obtained for the magnetization is 0.000 μB per atom. The space group is No. 12. For the calculated formation energy, the calculation gives -0.2 eV per formula unit.

Structure (POSCAR):
```
Ac6LaMg2
1.0
6.988 -2.065 0.000
6.988 2.065 0.000
-4.080 0.000 12.464
Ac La Mg
6 1 2
Direct
0.025 0.025 0.334
0.315 0.315 0.411
0.323 0.323 0.121
0.677 0.677 0.879
0.685 0.685 0.589
0.975 0.975 0.666
0.000 0.000 0.000
0.348 0.348 0.802
0.652 0.652 0.198
```

Question: Look up the magnetization of the third one.
Answer: 0.000 μB per atom

What did the fourth record say?
A plane-wave DFT calculation with PBE was carried out for crystalline Ac2LaMg at its relaxed geometry.

Summary:
The value obtained for the magnetization is 0.000 μB per atom. The space group is No. 123. For the calculated formation energy, the calculation gives -0.1 eV per formula unit. The energy above the most stable polymorph in this dataset comes out at 0 meV/atom.

Structure (POSCAR):
```
Ac2LaMg
1.0
4.004 0.000 0.000
0.000 4.004 0.000
0.000 0.000 9.569
Ac La Mg
2 1 1
Direct
0.000 0.000 0.226
0.000 0.000 0.774
0.500 0.500 0.500
0.500 0.500 0.000
```